# 1
{
  "formula": "Mg3Si4O12",
  "functional": "GGA-PBE",
  "state": "relaxed",
  "raw_formation_energy_ev_per_fu": -48.0,
  "total_energy_ry_per_atom": -0.518,
  "polymorph_energy_mev_per_atom": 45.5,
  "n_ef_per_ev_atom": 0.233,
  "vol_a3_per_cell": 493.7,
  "lattice_angstrom": [[5.3572, 0.0016, -0.0319], [-2.6491, 4.6565, -0.0318], [0.8888, 1.5290, 19.7676]],
  "species": ["Mg", "Mg", "Mg", "Mg", "Mg", "Mg", "Si", "Si", "Si", "Si", "Si", "Si", "Si", "Si", "O", "O", "O", "O", "O", "O", "O", "O", "O", "O", "O", "O", "O", "O", "O", "O", "O", "O", "O", "O", "O", "O", "O", "O"],
  "fractional_positions": [[0.5000, 0.0000, 0.5000], [0.0000, 0.5000, 0.0000], [0.1467, 0.3230, 0.5000], [0.6770, 0.8533, 0.0000], [0.8533, 0.6770, 0.5000], [0.3230, 0.1467, 0.0000], [0.8725, 0.3674, 0.3595], [0.6326, 0.1275, 0.1405], [0.1275, 0.6326, 0.6405], [0.3674, 0.8725, 0.8595], [0.2061, 0.0332, 0.3595], [0.9668, 0.7939, 0.1405], [0.7939, 0.9668, 0.6405], [0.0332, 0.2061, 0.8595], [0.8499, 0.3426, 0.4428], [0.6574, 0.1501, 0.0572], [0.1501, 0.6574, 0.5572], [0.3426, 0.8499, 0.9428], [0.1816, 0.0079, 0.4428], [0.9921, 0.8184, 0.0572], [0.8184, 0.9921, 0.5572], [0.0079, 0.1816, 0.9428], [0.5110, 0.6607, 0.4572], [0.3393, 0.4890, 0.0428], [0.4890, 0.3393, 0.5428], [0.6607, 0.5110, 0.9572], [0.5470, 0.2009, 0.3326], [0.7991, 0.4530, 0.1674], [0.4530, 0.7991, 0.6674], [0.2009, 0.5470, 0.8326], [0.0400, 0.7080, 0.3323], [0.2920, 0.9600, 0.1677], [0.9600, 0.2920, 0.6677], [0.7080, 0.0400, 0.8323], [0.0539, 0.2147, 0.3319], [0.7853, 0.9462, 0.1681], [0.9461, 0.7853, 0.6681], [0.2147, 0.0538, 0.8319]]
}

# 2
{
  "formula": "Tc4Pd2Rh",
  "functional": "GGA-PBE",
  "state": "relaxed",
  "e_form_ev_per_atom": 1.529,
  "total_energy_ry_per_atom": -0.509,
  "n_ef_per_ev_atom": 1.176,
  "vol_a3_per_cell": 138.3,
  "lattice_angstrom": [[-3.3615, 3.1557, 0.2790], [-0.1845, -0.6012, 4.5761], [2.6637, 5.9333, 3.2181]],
  "species": ["Rh", "Tc", "Tc", "Tc", "Tc", "Pd", "Pd"],
  "fractional_positions": [[0.0000, 0.0000, 0.0000], [0.8049, 0.8049, 0.3903], [0.1951, 0.1951, 0.6097], [0.0000, 0.5000, 0.0000], [0.5000, 0.0000, 0.0000], [0.6128, 0.6128, 0.7745], [0.3872, 0.3872, 0.2255]]
}

# 3
{
  "formula": "Ce3SmHo2Te6",
  "functional": "GGA-PBE",
  "state": "relaxed",
  "raw_formation_energy_ev_per_fu": -16.1,
  "total_energy_ry_per_atom": -0.408,
  "n_ef_per_ev_atom": 1.907,
  "vol_a3_per_cell": 369.1,
  "lattice_angstrom": [[-7.0927, -0.1214, 2.7851], [1.1551, -0.3157, -7.5263], [2.2447, -7.1863, 1.9309]],
  "species": ["Ce", "Ce", "Ce", "Sm", "Ho", "Ho", "Te", "Te", "Te", "Te", "Te", "Te"],
  "fractional_positions": [[0.1627, 0.8373, 0.5000], [0.8373, 0.1627, 0.5000], [0.5000, 0.5000, 0.5000], [0.0000, 0.0000, 0.0000], [0.3326, 0.6674, 0.0000], [0.6674, 0.3326, 0.0000], [0.9193, 0.5801, 0.7586], [0.7394, 0.7394, 0.2373], [0.0807, 0.4199, 0.2414], [0.5801, 0.9193, 0.7586], [0.2606, 0.2606, 0.7627], [0.4199, 0.0807, 0.2414]]
}

# 4
{
  "formula": "BaHSeF",
  "functional": "GGA-PBE",
  "state": "relaxed",
  "total_energy_ry_per_atom": -0.338,
  "n_ef_per_ev_atom": 0.000,
  "vol_a3_per_cell": 90.7,
  "lattice_angstrom": [[4.4354, 0.0006, -0.0002], [-2.2187, 3.9462, 0.0048], [0.0002, -0.0070, 5.1796]],
  "species": ["Ba", "H", "Se", "F"],
  "fractional_positions": [[0.8968, 0.7936, 0.8098], [0.3241, 0.6486, 0.3097], [0.5129, 0.0256, 0.3098], [0.2205, 0.4409, 0.8098]]
}